# 1
{"formula": "AcCeSe2Cl", "functional": "PBE", "state": "optimized geometry", "total_magnetization_mub_per_fu": 1.16, "total_energy_ry_per_atom": -0.416, "cell": [[4.393, 0.000, 0.000], [0.000, 4.393, 0.000], [0.000, 0.000, 14.567]], "species": ["Ce", "Ce", "Ac", "Ac", "Se", "Se", "Se", "Se", "Cl", "Cl"], "frac_coords": [[0.000, 0.500, 0.360], [0.500, 0.000, 0.640], [0.500, 0.000, 0.102], [0.000, 0.500, 0.898], [0.500, 0.000, 0.876], [0.000, 0.500, 0.124], [0.000, 0.500, 0.690], [0.500, 0.000, 0.310], [0.500, 0.500, 0.500], [0.000, 0.000, 0.500]]}

# 2
{"formula": "AcCeTeCl", "functional": "PBE", "state": "optimized geometry", "total_magnetization_mub_per_fu": 1.37, "total_energy_ry_per_atom": -0.365, "cell": [[-3.921, 0.683, -3.753], [-3.006, -4.273, -1.623], [-5.264, -0.349, 1.449]], "species": ["Ac", "Cl", "Te", "Ce"], "frac_coords": [[0.500, 0.500, 0.500], [0.750, 0.750, 0.750], [0.250, 0.250, 0.250], [0.000, 0.000, 0.000]]}

# 3
{"formula": "AcCeTe2Cl", "functional": "PBE", "state": "optimized geometry", "total_magnetization_mub_per_fu": 1.21, "total_energy_ry_per_atom": -0.386, "cell": [[4.600, 0.000, 0.000], [0.000, 4.600, 0.000], [0.000, 0.000, 15.458]], "species": ["Ac", "Ac", "Cl", "Cl", "Te", "Te", "Te", "Te", "Ce", "Ce"], "frac_coords": [[0.000, 0.500, 0.904], [0.500, 0.000, 0.096], [0.500, 0.500, 0.500], [0.000, 0.000, 0.500], [0.000, 0.500, 0.690], [0.500, 0.000, 0.871], [0.000, 0.500, 0.129], [0.500, 0.000, 0.310], [0.000, 0.500, 0.372], [0.500, 0.000, 0.628]]}

# 4
{"formula": "AcCeCo", "functional": "PBE", "state": "optimized geometry", "total_magnetization_mub_per_fu": 0.00, "formation_energy_ev_per_atom": -0.15, "de_polymorph_mev_per_atom": 0, "total_energy_ry_per_atom": -0.431, "cell": [[7.137, 0.000, 0.000], [0.000, 6.488, 0.490], [0.000, -0.537, 7.000]], "species": ["Co", "Co", "Co", "Co", "Ce", "Ce", "Ce", "Ce", "Ac", "Ac", "Ac", "Ac"], "frac_coords": [[0.510, 0.112, 0.750], [0.010, 0.888, 0.750], [0.490, 0.888, 0.250], [0.990, 0.112, 0.250], [0.751, 0.077, 0.001], [0.749, 0.077, 0.501], [0.249, 0.923, 0.999], [0.251, 0.923, 0.499], [0.106, 0.396, 0.750], [0.394, 0.396, 0.250], [0.894, 0.604, 0.250], [0.606, 0.604, 0.750]]}

# 5
{"formula": "Ac2CeCo", "functional": "PBE", "state": "optimized geometry", "total_magnetization_mub_per_fu": 1.96, "formation_energy_ev_per_atom": 0.32, "total_energy_ry_per_atom": -0.367, "cell": [[-1.645, -2.327, -2.691], [-1.922, -3.230, 1.113], [-10.290, 3.796, 0.153]], "species": ["Co", "Ce", "Ac", "Ac"], "frac_coords": [[0.500, 0.500, 0.500], [0.000, 0.000, 0.000], [0.114, 0.114, 0.658], [0.886, 0.886, 0.342]]}

# 6
{"formula": "AcCeCo", "functional": "PBE", "state": "optimized geometry", "total_magnetization_mub_per_fu": 0.00, "formation_energy_ev_per_atom": -0.09, "de_polymorph_mev_per_atom": 56, "total_energy_ry_per_atom": -0.427, "cell": [[-4.921, 1.335, 4.565], [-4.162, -4.554, -3.155], [4.061, -3.512, 5.405]], "species": ["Co", "Co", "Co", "Co", "Ce", "Ce", "Ce", "Ce", "Ac", "Ac", "Ac", "Ac"], "frac_coords": [[0.677, 0.460, 0.286], [0.177, 0.040, 0.214], [0.823, 0.960, 0.786], [0.323, 0.540, 0.714], [0.399, 0.256, 0.423], [0.899, 0.244, 0.077], [0.601, 0.744, 0.577], [0.101, 0.756, 0.923], [0.398, 0.213, 0.909], [0.102, 0.713, 0.409], [0.602, 0.787, 0.091], [0.898, 0.287, 0.591]]}

# 7
{"formula": "Ac12CeCo7", "functional": "PBE", "state": "optimized geometry", "total_magnetization_mub_per_fu": 0.00, "formation_energy_ev_per_atom": -0.03, "total_energy_ry_per_atom": -0.388, "cell": [[-2.901, 5.294, -7.139], [-6.102, -6.947, 1.387], [0.539, 5.239, 7.725]], "species": ["Ac", "Ac", "Ac", "Ac", "Ac", "Ac", "Ac", "Ac", "Ac", "Ac", "Ac", "Ac", "Co", "Co", "Co", "Co", "Co", "Co", "Co", "Ce"], "frac_coords": [[0.579, 0.867, 0.654], [0.764, 0.910, 0.336], [0.346, 0.421, 0.133], [0.867, 0.654, 0.579], [0.910, 0.336, 0.764], [0.336, 0.764, 0.910], [0.133, 0.346, 0.421], [0.236, 0.090, 0.664], [0.664, 0.236, 0.090], [0.421, 0.133, 0.346], [0.090, 0.664, 0.236], [0.654, 0.579, 0.867], [0.046, 0.963, 0.266], [0.037, 0.734, 0.954], [0.963, 0.266, 0.046], [0.266, 0.046, 0.963], [0.734, 0.954, 0.037], [0.954, 0.037, 0.734], [0.500, 0.500, 0.500], [0.000, 0.000, 0.000]]}

# 8
{"formula": "AcCeCo", "functional": "PBE", "state": "optimized geometry", "total_magnetization_mub_per_fu": 0.57, "formation_energy_ev_per_atom": -0.01, "de_polymorph_mev_per_atom": 135, "total_energy_ry_per_atom": -0.421, "cell": [[-0.401, 3.931, -0.435], [-2.254, -1.949, 2.631], [4.501, 0.965, 4.572]], "species": ["Co", "Ac", "Ce"], "frac_coords": [[0.667, 0.333, 0.362], [0.000, 0.000, 0.079], [0.333, 0.667, 0.559]]}

# 9
{"formula": "Ac7CeCo3", "functional": "PBE", "state": "optimized geometry", "total_magnetization_mub_per_fu": 0.00, "formation_energy_ev_per_atom": -0.04, "total_energy_ry_per_atom": -0.377, "cell": [[-1.264, 0.225, -6.651], [7.887, 1.534, -1.447], [-2.680, -7.708, 0.249]], "species": ["Ac", "Ac", "Ac", "Ac", "Ac", "Ac", "Ac", "Co", "Co", "Co", "Ce"], "frac_coords": [[0.035, 0.833, 0.666], [0.533, 0.166, 0.834], [0.035, 0.833, 0.167], [0.533, 0.668, 0.834], [0.999, 0.333, 0.667], [0.533, 0.166, 0.332], [0.035, 0.334, 0.167], [0.770, 0.510, 0.019], [0.770, 0.510, 0.490], [0.770, 0.981, 0.490], [0.604, 0.667, 0.333]]}

# 10
{"formula": "AcCeCo", "functional": "PBE", "state": "optimized geometry", "total_magnetization_mub_per_fu": 0.00, "formation_energy_ev_per_atom": 0.06, "de_polymorph_mev_per_atom": 207, "total_energy_ry_per_atom": -0.416, "cell": [[-3.013, 0.434, -1.839], [1.391, -1.833, -2.712], [-1.406, -4.530, 4.672]], "species": ["Co", "Ac", "Ce"], "frac_coords": [[0.697, 0.697, 0.394], [0.017, 0.017, 0.034], [0.286, 0.286, 0.572]]}

# 11
{"formula": "AcCe3Co", "functional": "PBE", "state": "optimized geometry", "total_magnetization_mub_per_fu": 1.53, "formation_energy_ev_per_atom": 0.06, "total_energy_ry_per_atom": -0.422, "cell": [[-1.440, 0.490, -5.094], [3.957, -3.249, -1.431], [-3.245, -4.179, 0.515]], "species": ["Ac", "Co", "Ce", "Ce", "Ce"], "frac_coords": [[0.500, 0.500, 0.500], [0.000, 0.000, 0.000], [0.000, 0.500, 0.000], [0.000, 0.000, 0.500], [0.500, 0.000, 0.000]]}

# 12
{"formula": "AcCeCoIr", "functional": "PBE", "state": "optimized geometry", "total_magnetization_mub_per_fu": 0.24, "formation_energy_ev_per_atom": -0.21, "total_energy_ry_per_atom": -0.493, "cell": [[5.040, 0.000, 0.000], [2.520, 4.364, 0.000], [2.520, 1.455, 4.115]], "species": ["Ac", "Co", "Ce", "Ir"], "frac_coords": [[0.000, 0.000, 0.000], [0.750, 0.750, 0.750], [0.500, 0.500, 0.500], [0.250, 0.250, 0.250]]}